No. 1
# HfSiPt PBE relaxed
data_HfSiPt
_symmetry_space_group_name_H-M 'P 1'
_symmetry_Int_Tables_number 1
_cell_length_a 6.690
_cell_length_b 6.690
_cell_length_c 3.937
_cell_angle_alpha 90.00
_cell_angle_beta 90.00
_cell_angle_gamma 120.00
loop_
_symmetry_equiv_pos_as_xyz
'x,y,z'
loop_
_atom_site_label
_atom_site_type_symbol
_atom_site_fract_x
_atom_site_fract_y
_atom_site_fract_z
_atom_site_occupancy
Si1 Si 0.000 0.263 0.500 1
Hf1 Hf 0.000 0.594 0.000 1
Pt1 Pt 0.333 0.667 0.500 1
Pt2 Pt 0.667 0.333 0.500 1
Si2 Si 0.737 0.737 0.500 1
Si3 Si 0.263 0.000 0.500 1
Pt3 Pt 0.000 0.000 0.000 1
Hf2 Hf 0.406 0.406 0.000 1
Hf3 Hf 0.594 0.000 0.000 1
# - ρ (Mg/m³) = 13.1
# - VASP energy (eV per atom) = -8.08

No. 2
# Hf2Si2Pt PBE relaxed
data_Hf2Si2Pt
_symmetry_space_group_name_H-M 'P 1'
_symmetry_Int_Tables_number 1
_cell_length_a 7.387
_cell_length_b 7.387
_cell_length_c 7.387
_cell_angle_alpha 152.49
_cell_angle_beta 152.49
_cell_angle_gamma 39.30
loop_
_symmetry_equiv_pos_as_xyz
'x,y,z'
loop_
_atom_site_label
_atom_site_type_symbol
_atom_site_fract_x
_atom_site_fract_y
_atom_site_fract_z
_atom_site_occupancy
Si1 Si 0.750 0.250 0.500 1
Hf1 Hf 0.604 0.604 0.000 1
Si2 Si 0.250 0.750 0.500 1
Hf2 Hf 0.396 0.396 0.000 1
Pt1 Pt 0.000 0.000 0.000 1
# - ρ (Mg/m³) = 11.8
# - VASP energy (eV per atom) = -7.83

No. 3
# HfSiPt PBE relaxed
data_HfSiPt
_symmetry_space_group_name_H-M 'P 1'
_symmetry_Int_Tables_number 1
_cell_length_a 7.493
_cell_length_b 7.493
_cell_length_c 3.108
_cell_angle_alpha 90.00
_cell_angle_beta 90.00
_cell_angle_gamma 120.00
loop_
_symmetry_equiv_pos_as_xyz
'x,y,z'
loop_
_atom_site_label
_atom_site_type_symbol
_atom_site_fract_x
_atom_site_fract_y
_atom_site_fract_z
_atom_site_occupancy
Hf1 Hf 0.000 0.294 0.000 1
Hf2 Hf 0.294 0.000 0.000 1
Si1 Si 0.333 0.667 0.000 1
Pt1 Pt 0.361 0.361 0.500 1
Si2 Si 0.000 0.000 0.500 1
Pt2 Pt 0.639 0.000 0.500 1
Hf3 Hf 0.706 0.706 0.000 1
Pt3 Pt 0.000 0.639 0.500 1
Si3 Si 0.667 0.333 0.000 1
# - ρ (Mg/m³) = 13.2
# - VASP energy (eV per atom) = -7.75

No. 4
# HfSi4Pt3 PBE relaxed
data_HfSi4Pt3
_symmetry_space_group_name_H-M 'P 1'
_symmetry_Int_Tables_number 1
_cell_length_a 5.606
_cell_length_b 3.746
_cell_length_c 6.370
_cell_angle_alpha 90.00
_cell_angle_beta 109.88
_cell_angle_gamma 90.00
loop_
_symmetry_equiv_pos_as_xyz
'x,y,z'
loop_
_atom_site_label
_atom_site_type_symbol
_atom_site_fract_x
_atom_site_fract_y
_atom_site_fract_z
_atom_site_occupancy
Hf1 Hf 0.714 0.000 0.153 1
Si1 Si 0.969 0.000 0.613 1
Si2 Si 0.059 0.500 0.396 1
Si3 Si 0.811 0.500 0.881 1
Pt1 Pt 0.570 0.000 0.676 1
Pt2 Pt 0.232 0.500 0.827 1
Si4 Si 0.193 0.000 0.127 1
Pt3 Pt 0.453 0.500 0.328 1
# - ρ (Mg/m³) = 11.6
# - VASP energy (eV per atom) = -6.77

No. 5
# HfSi2Pt PBE relaxed
data_HfSi2Pt
_symmetry_space_group_name_H-M 'P 1'
_symmetry_Int_Tables_number 1
_cell_length_a 4.554
_cell_length_b 4.554
_cell_length_c 4.554
_cell_angle_alpha 60.00
_cell_angle_beta 60.00
_cell_angle_gamma 60.00
loop_
_symmetry_equiv_pos_as_xyz
'x,y,z'
loop_
_atom_site_label
_atom_site_type_symbol
_atom_site_fract_x
_atom_site_fract_y
_atom_site_fract_z
_atom_site_occupancy
Si1 Si 0.000 0.000 0.000 1
Si2 Si 0.750 0.750 0.750 1
Pt1 Pt 0.500 0.500 0.500 1
Hf1 Hf 0.250 0.250 0.250 1
# - ρ (Mg/m³) = 10.7
# - VASP energy (eV per atom) = -6.91

No. 6
# Hf2SiPt PBE relaxed
data_Hf2SiPt
_symmetry_space_group_name_H-M 'P 1'
_symmetry_Int_Tables_number 1
_cell_length_a 4.641
_cell_length_b 4.641
_cell_length_c 4.641
_cell_angle_alpha 60.00
_cell_angle_beta 60.00
_cell_angle_gamma 60.00
loop_
_symmetry_equiv_pos_as_xyz
'x,y,z'
loop_
_atom_site_label
_atom_site_type_symbol
_atom_site_fract_x
_atom_site_fract_y
_atom_site_fract_z
_atom_site_occupancy
Pt1 Pt 0.250 0.250 0.250 1
Hf1 Hf 0.000 0.000 0.000 1
Si1 Si 0.500 0.500 0.500 1
Hf2 Hf 0.750 0.750 0.750 1
# - ρ (Mg/m³) = 13.6
# - VASP energy (eV per atom) = -7.98

No. 7
# HfSi2Pt PBE relaxed
data_HfSi2Pt
_symmetry_space_group_name_H-M 'P 1'
_symmetry_Int_Tables_number 1
_cell_length_a 3.579
_cell_length_b 4.924
_cell_length_c 7.479
_cell_angle_alpha 90.00
_cell_angle_beta 90.00
_cell_angle_gamma 90.00
loop_
_symmetry_equiv_pos_as_xyz
'x,y,z'
loop_
_atom_site_label
_atom_site_type_symbol
_atom_site_fract_x
_atom_site_fract_y
_atom_site_fract_z
_atom_site_occupancy
Si1 Si 0.500 0.585 0.567 1
Si2 Si 0.500 0.415 0.067 1
Si3 Si 0.000 0.106 0.945 1
Si4 Si 0.000 0.894 0.445 1
Pt1 Pt 0.500 0.088 0.653 1
Pt2 Pt 0.500 0.912 0.153 1
Hf1 Hf 0.000 0.393 0.334 1
Hf2 Hf 0.000 0.607 0.834 1
# - ρ (Mg/m³) = 10.8
# - VASP energy (eV per atom) = -7.20

No. 8
# HfSiPt PBE relaxed
data_HfSiPt
_symmetry_space_group_name_H-M 'P 1'
_symmetry_Int_Tables_number 1
_cell_length_a 6.584
_cell_length_b 6.584
_cell_length_c 3.915
_cell_angle_alpha 90.00
_cell_angle_beta 90.00
_cell_angle_gamma 120.00
loop_
_symmetry_equiv_pos_as_xyz
'x,y,z'
loop_
_atom_site_label
_atom_site_type_symbol
_atom_site_fract_x
_atom_site_fract_y
_atom_site_fract_z
_atom_site_occupancy
Pt1 Pt 0.740 0.740 0.000 1
Si1 Si 0.667 0.333 0.000 1
Hf1 Hf 0.415 0.415 0.500 1
Hf2 Hf 0.585 0.000 0.500 1
Si2 Si 0.000 0.000 0.500 1
Si3 Si 0.333 0.667 0.000 1
Pt2 Pt 0.000 0.260 0.000 1
Hf3 Hf 0.000 0.585 0.500 1
Pt3 Pt 0.260 0.000 0.000 1
# - ρ (Mg/m³) = 13.6
# - VASP energy (eV per atom) = -8.20

No. 9
# HfSiPt PBE relaxed
data_HfSiPt
_symmetry_space_group_name_H-M 'P 1'
_symmetry_Int_Tables_number 1
_cell_length_a 5.268
_cell_length_b 4.019
_cell_length_c 9.864
_cell_angle_alpha 90.00
_cell_angle_beta 90.00
_cell_angle_gamma 90.00
loop_
_symmetry_equiv_pos_as_xyz
'x,y,z'
loop_
_atom_site_label
_atom_site_type_symbol
_atom_site_fract_x
_atom_site_fract_y
_atom_site_fract_z
_atom_site_occupancy
Si1 Si 0.857 0.250 0.648 1
Si2 Si 0.357 0.250 0.852 1
Hf1 Hf 0.714 0.750 0.844 1
Pt1 Pt 0.680 0.750 0.542 1
Si3 Si 0.643 0.750 0.148 1
Hf2 Hf 0.786 0.250 0.344 1
Pt2 Pt 0.820 0.250 0.042 1
Hf3 Hf 0.286 0.250 0.156 1
Si4 Si 0.143 0.750 0.352 1
Pt3 Pt 0.180 0.750 0.958 1
Hf4 Hf 0.214 0.750 0.656 1
Pt4 Pt 0.320 0.250 0.458 1
# - ρ (Mg/m³) = 12.8
# - VASP energy (eV per atom) = -7.85

No. 10
# TbHfSi2Pt4 PBE relaxed
data_TbHfSi2Pt4
_symmetry_space_group_name_H-M 'P 1'
_symmetry_Int_Tables_number 1
_cell_length_a 7.017
_cell_length_b 5.329
_cell_length_c 5.329
_cell_angle_alpha 42.49
_cell_angle_beta 90.00
_cell_angle_gamma 90.00
loop_
_symmetry_equiv_pos_as_xyz
'x,y,z'
loop_
_atom_site_label
_atom_site_type_symbol
_atom_site_fract_x
_atom_site_fract_y
_atom_site_fract_z
_atom_site_occupancy
Si1 Si 0.500 0.271 0.271 1
Pt1 Pt 0.303 0.860 0.860 1
Hf1 Hf 0.500 0.554 0.554 1
Pt2 Pt 0.206 0.140 0.140 1
Pt3 Pt 0.794 0.140 0.140 1
Tb1 Tb 0.000 0.445 0.445 1
Pt4 Pt 0.697 0.860 0.860 1
Si2 Si 0.000 0.729 0.729 1
# - ρ (Mg/m³) = 14.5
# - VASP energy (eV per atom) = -7.30

No. 11
# TmHfSi2Pt4 PBE relaxed
data_TmHfSi2Pt4
_symmetry_space_group_name_H-M 'P 1'
_symmetry_Int_Tables_number 1
_cell_length_a 7.000
_cell_length_b 5.306
_cell_length_c 5.306
_cell_angle_alpha 42.40
_cell_angle_beta 90.00
_cell_angle_gamma 90.00
loop_
_symmetry_equiv_pos_as_xyz
'x,y,z'
loop_
_atom_site_label
_atom_site_type_symbol
_atom_site_fract_x
_atom_site_fract_y
_atom_site_fract_z
_atom_site_occupancy
Si1 Si 0.500 0.730 0.730 1
Pt1 Pt 0.705 0.140 0.140 1
Pt2 Pt 0.198 0.861 0.861 1
Tm1 Tm 0.500 0.446 0.446 1
Si2 Si 0.000 0.270 0.270 1
Pt3 Pt 0.802 0.861 0.861 1
Pt4 Pt 0.295 0.140 0.140 1
Hf1 Hf 0.000 0.553 0.553 1
# - ρ (Mg/m³) = 14.8
# - VASP energy (eV per atom) = -7.30

No. 12
# YHfSi2Pt4 PBE relaxed
data_YHfSi2Pt4
_symmetry_space_group_name_H-M 'P 1'
_symmetry_Int_Tables_number 1
_cell_length_a 7.017
_cell_length_b 5.322
_cell_length_c 5.322
_cell_angle_alpha 42.52
_cell_angle_beta 90.00
_cell_angle_gamma 90.00
loop_
_symmetry_equiv_pos_as_xyz
'x,y,z'
loop_
_atom_site_label
_atom_site_type_symbol
_atom_site_fract_x
_atom_site_fract_y
_atom_site_fract_z
_atom_site_occupancy
Pt1 Pt 0.206 0.140 0.140 1
Y1 Y 0.000 0.445 0.445 1
Si1 Si 0.500 0.271 0.271 1
Si2 Si 0.000 0.729 0.729 1
Pt2 Pt 0.794 0.140 0.140 1
Hf1 Hf 0.500 0.553 0.553 1
Pt3 Pt 0.697 0.860 0.860 1
Pt4 Pt 0.303 0.860 0.860 1
# - ρ (Mg/m³) = 13.6
# - VASP energy (eV per atom) = -7.53

No. 13
# HfZrSn2Pt2 PBE relaxed
data_HfZrSn2Pt2
_symmetry_space_group_name_H-M 'P 1'
_symmetry_Int_Tables_number 1
_cell_length_a 9.037
_cell_length_b 4.518
_cell_length_c 13.556
_cell_angle_alpha 90.00
_cell_angle_beta 109.46
_cell_angle_gamma 90.00
loop_
_symmetry_equiv_pos_as_xyz
'x,y,z'
loop_
_atom_site_label
_atom_site_type_symbol
_atom_site_fract_x
_atom_site_fract_y
_atom_site_fract_z
_atom_site_occupancy
Pt1 Pt 0.000 0.000 0.000 1
Sn1 Sn 0.062 0.500 0.124 1
Zr1 Zr 0.187 0.500 0.375 1
Hf1 Hf 0.938 0.500 0.875 1
Sn2 Sn 0.313 0.500 0.626 1
Sn3 Sn 0.937 0.000 0.374 1
Hf2 Hf 0.062 0.000 0.625 1
Zr2 Zr 0.563 0.000 0.625 1
Sn4 Sn 0.187 0.000 0.875 1
Pt2 Pt 0.374 0.500 0.248 1
Sn5 Sn 0.563 0.500 0.125 1
Pt3 Pt 0.874 0.500 0.248 1
Zr3 Zr 0.437 0.500 0.875 1
Pt4 Pt 0.753 0.000 0.501 1
Pt5 Pt 0.628 0.500 0.751 1
Hf3 Hf 0.813 0.000 0.125 1
Zr4 Zr 0.688 0.500 0.375 1
Sn6 Sn 0.688 0.000 0.876 1
Pt6 Pt 0.248 0.000 0.501 1
Pt7 Pt 0.123 0.500 0.749 1
Pt8 Pt 0.501 0.000 0.002 1
Hf4 Hf 0.312 0.000 0.125 1
Sn7 Sn 0.813 0.500 0.625 1
Sn8 Sn 0.437 0.000 0.375 1
# - ρ (Mg/m³) = 11.4
# - VASP energy (eV per atom) = -7.44

No. 14
# Sr2HfPt PBE relaxed
data_Sr2HfPt
_symmetry_space_group_name_H-M 'P 1'
_symmetry_Int_Tables_number 1
_cell_length_a 5.227
_cell_length_b 5.227
_cell_length_c 5.227
_cell_angle_alpha 60.00
_cell_angle_beta 60.00
_cell_angle_gamma 60.00
loop_
_symmetry_equiv_pos_as_xyz
'x,y,z'
loop_
_atom_site_label
_atom_site_type_symbol
_atom_site_fract_x
_atom_site_fract_y
_atom_site_fract_z
_atom_site_occupancy
Hf1 Hf 0.500 0.500 0.500 1
Sr1 Sr 0.250 0.250 0.250 1
Pt1 Pt 0.750 0.750 0.750 1
Sr2 Sr 0.000 0.000 0.000 1
# - ρ (Mg/m³) = 9.0
# - VASP energy (eV per atom) = -4.58

No. 15
# SrHf2Pt2 PBE relaxed
data_SrHf2Pt2
_symmetry_space_group_name_H-M 'P 1'
_symmetry_Int_Tables_number 1
_cell_length_a 6.441
_cell_length_b 6.441
_cell_length_c 6.441
_cell_angle_alpha 138.20
_cell_angle_beta 138.20
_cell_angle_gamma 60.60
loop_
_symmetry_equiv_pos_as_xyz
'x,y,z'
loop_
_atom_site_label
_atom_site_type_symbol
_atom_site_fract_x
_atom_site_fract_y
_atom_site_fract_z
_atom_site_occupancy
Pt1 Pt 0.624 0.624 0.000 1
Pt2 Pt 0.376 0.376 0.000 1
Hf1 Hf 0.250 0.750 0.500 1
Sr1 Sr 0.000 0.000 0.000 1
Hf2 Hf 0.750 0.250 0.500 1
# - ρ (Mg/m³) = 11.8
# - VASP energy (eV per atom) = -7.60

No. 16
# HfTa2Pt PBE relaxed
data_HfTa2Pt
_symmetry_space_group_name_H-M 'P 1'
_symmetry_Int_Tables_number 1
_cell_length_a 4.655
_cell_length_b 4.655
_cell_length_c 4.655
_cell_angle_alpha 60.00
_cell_angle_beta 60.00
_cell_angle_gamma 60.00
loop_
_symmetry_equiv_pos_as_xyz
'x,y,z'
loop_
_atom_site_label
_atom_site_type_symbol
_atom_site_fract_x
_atom_site_fract_y
_atom_site_fract_z
_atom_site_occupancy
Ta1 Ta 0.000 0.000 0.000 1
Ta2 Ta 0.750 0.750 0.750 1
Pt1 Pt 0.500 0.500 0.500 1
Hf1 Hf 0.250 0.250 0.250 1
# - ρ (Mg/m³) = 17.1
# - VASP energy (eV per atom) = -10.28

No. 17
# HfTcPt PBE relaxed
data_HfTcPt
_symmetry_space_group_name_H-M 'P 1'
_symmetry_Int_Tables_number 1
_cell_length_a 4.377
_cell_length_b 4.377
_cell_length_c 4.377
_cell_angle_alpha 60.00
_cell_angle_beta 60.00
_cell_angle_gamma 60.00
loop_
_symmetry_equiv_pos_as_xyz
'x,y,z'
loop_
_atom_site_label
_atom_site_type_symbol
_atom_site_fract_x
_atom_site_fract_y
_atom_site_fract_z
_atom_site_occupancy
Hf1 Hf 0.250 0.250 0.250 1
Tc1 Tc 0.750 0.750 0.750 1
Pt1 Pt 0.000 0.000 0.000 1
# - ρ (Mg/m³) = 13.2
# - VASP energy (eV per atom) = -8.75
# - E above lowest polymorph (meV/atom) = 0.0

No. 18
# HfTcPt PBE relaxed
data_HfTcPt
_symmetry_space_group_name_H-M 'P 1'
_symmetry_Int_Tables_number 1
_cell_length_a 4.358
_cell_length_b 4.358
_cell_length_c 4.358
_cell_angle_alpha 60.00
_cell_angle_beta 60.00
_cell_angle_gamma 60.00
loop_
_symmetry_equiv_pos_as_xyz
'x,y,z'
loop_
_atom_site_label
_atom_site_type_symbol
_atom_site_fract_x
_atom_site_fract_y
_atom_site_fract_z
_atom_site_occupancy
Tc1 Tc 0.750 0.750 0.750 1
Hf1 Hf 0.000 0.000 0.000 1
Pt1 Pt 0.250 0.250 0.250 1
# - ρ (Mg/m³) = 13.4
# - VASP energy (eV per atom) = -8.63
# - E above lowest polymorph (meV/atom) = 128.5

No. 19
# Hf2Te2Pt PBE relaxed
data_Hf2Te2Pt
_symmetry_space_group_name_H-M 'P 1'
_symmetry_Int_Tables_number 1
_cell_length_a 7.342
_cell_length_b 7.342
_cell_length_c 7.342
_cell_angle_alpha 146.84
_cell_angle_beta 146.84
_cell_angle_gamma 47.60
loop_
_symmetry_equiv_pos_as_xyz
'x,y,z'
loop_
_atom_site_label
_atom_site_type_symbol
_atom_site_fract_x
_atom_site_fract_y
_atom_site_fract_z
_atom_site_occupancy
Te1 Te 0.750 0.250 0.500 1
Hf1 Hf 0.600 0.600 0.000 1
Te2 Te 0.250 0.750 0.500 1
Hf2 Hf 0.400 0.400 0.000 1
Pt1 Pt 0.000 0.000 0.000 1
# - ρ (Mg/m³) = 11.4
# - VASP energy (eV per atom) = -6.33

No. 20
# HfTePt PBE relaxed
data_HfTePt
_symmetry_space_group_name_H-M 'P 1'
_symmetry_Int_Tables_number 1
_cell_length_a 4.604
_cell_length_b 4.604
_cell_length_c 4.604
_cell_angle_alpha 60.00
_cell_angle_beta 60.00
_cell_angle_gamma 60.00
loop_
_symmetry_equiv_pos_as_xyz
'x,y,z'
loop_
_atom_site_label
_atom_site_type_symbol
_atom_site_fract_x
_atom_site_fract_y
_atom_site_fract_z
_atom_site_occupancy
Te1 Te 0.000 0.000 0.000 1
Pt1 Pt 0.750 0.750 0.750 1
Hf1 Hf 0.250 0.250 0.250 1
# - ρ (Mg/m³) = 12.1
# - VASP energy (eV per atom) = -6.41